1.
A relaxed Hg3OsBr crystal, computed with PBE.

```
Hg3OsBr
1.0
5.317 0.000 0.000
0.000 5.317 0.000
0.000 0.000 5.317
Br Hg Os
1 3 1
Cartesian
2.658 2.658 2.658
0.000 0.000 2.658
0.000 2.658 0.000
2.658 0.000 0.000
0.000 0.000 0.000
```

Calculated values
V	150.3	Å³/f.u.
polymorph energy (0 for the lowest one)	0	meV/atom
raw formation energy	0.6587	eV/atom
density	9.63	Mg/m³



2.
A relaxed Ta2WI2 crystal, computed with PBE.

```
Ta2WI2
1.0
-5.876 -3.602 -0.855
0.451 -2.289 6.542
-2.494 3.719 1.473
I W Ta
4 2 4
Cartesian
-5.951 -1.859 2.160
-3.081 0.288 1.600
-1.968 -0.313 5.000
-4.838 -2.460 5.560
0.000 0.000 0.000
-2.713 -2.945 2.843
-1.690 -3.224 5.278
-4.721 -4.553 3.503
-0.704 -1.337 2.184
-3.735 -2.667 0.408
```

Calculated values
V	113.7	Å³/f.u.
polymorph energy (0 for the lowest one)	0	meV/atom
raw formation energy	1.2723	eV/atom
density	11.68	Mg/m³



3.
A relaxed CaIrO3 crystal, computed with PBE.

```
CaIrO3
1.0
-1.859 -3.429 3.679
5.088 -0.051 2.523
-2.152 5.952 4.460
O Ir Ca
12 4 4
Cartesian
-0.769 2.225 4.107
-0.921 -0.138 5.735
1.155 4.944 6.675
1.846 0.248 6.555
1.998 2.611 4.927
-1.613 4.558 5.855
0.018 2.349 6.955
-0.077 -2.471 3.987
1.059 0.123 3.707
-3.051 1.406 6.733
4.128 1.066 3.930
2.690 -2.085 4.807
1.615 -1.740 3.101
-1.076 2.976 2.230
0.539 1.236 5.331
0.000 0.000 0.000
-1.177 -0.294 3.185
2.254 2.766 7.477
0.507 -1.905 6.148
0.570 4.377 4.515
```

Calculated values
V	58.9	Å³/f.u.
raw formation energy	-1.6490	eV/atom
density	7.90	Mg/m³